# POsCl2

A geometry-optimized POsCl2 structure (GGA-PBE, the Alexandria database).

Cell and atoms, written as POSCAR:
```
POsCl2
1.0
2.250 -6.547 0.000
2.250 6.547 0.000
0.000 0.000 3.624
P Os Cl
1 1 2
Cartesian
0.000 0.000 0.000
2.250 0.000 0.000
2.250 1.620 1.812
2.250 -1.620 1.812
```

ΔE to the lowest computed polymorph ... 132 kJ/mol of formula units
Space group ... Cmmm

---

# POsCl2

A geometry-optimized POsCl2 structure (GGA-PBE, the Alexandria database).

Cell and atoms, written as POSCAR:
```
POsCl2
1.0
1.637 0.945 8.775
-1.637 0.945 8.775
0.000 -1.891 8.775
P Os Cl
1 1 2
Cartesian
0.000 0.000 0.000
0.000 0.000 18.834
0.000 0.000 6.911
0.000 0.000 11.920
```

ΔE to the lowest computed polymorph ... 133 kJ/mol of formula units
Space group ... R3m

---

# POsCl

A geometry-optimized POsCl structure (GGA-PBE, the Alexandria database).

Cell and atoms, written as POSCAR:
```
POsCl
1.0
-1.523 1.523 5.648
1.523 -1.523 5.648
1.523 1.523 -5.648
P Os Cl
1 1 1
Cartesian
0.000 0.000 0.000
0.000 0.000 6.589
0.000 0.000 9.122
```

ΔE to the lowest computed polymorph ... 36 kJ/mol of formula units
Space group ... I4mm

---

# P2OsCl

A geometry-optimized P2OsCl structure (GGA-PBE, the Alexandria database).

Cell and atoms, written as POSCAR:
```
P2OsCl
1.0
-1.490 1.523 8.022
1.490 -1.523 8.022
1.490 1.523 -8.022
P Os Cl
2 1 1
Cartesian
0.000 0.000 0.000
0.000 1.523 3.095
0.000 0.000 9.277
1.490 0.000 4.821
```

ΔE to the lowest computed polymorph ... 88 kJ/mol of formula units
Space group ... Imm2

---

# POsCl2

A geometry-optimized POsCl2 structure (GGA-PBE, the Alexandria database).

Cell and atoms, written as POSCAR:
```
POsCl2
1.0
2.772 -1.798 0.000
2.772 1.798 0.000
-0.539 0.000 8.520
P Os Cl
1 1 2
Cartesian
0.000 0.000 0.000
3.566 0.000 1.163
1.560 0.000 2.931
4.993 0.000 6.493
```

ΔE to the lowest computed polymorph ... 0 kJ/mol of formula units
Space group ... Cm

---

# POsCl2

A geometry-optimized POsCl2 structure (GGA-PBE, the Alexandria database).

Cell and atoms, written as POSCAR:
```
POsCl2
1.0
-1.508 2.359 5.797
1.508 -2.359 5.797
1.508 2.359 -5.797
P Os Cl
1 1 2
Cartesian
0.000 0.000 0.000
0.000 2.359 4.091
1.508 0.000 4.166
0.000 0.000 7.790
```

ΔE to the lowest computed polymorph ... 258 kJ/mol of formula units
Space group ... Imm2

---

no.,DOS(E_F) (states/eV/atom),total moment (μB per atom)
1,0.5216,0.000
2,0.6182,0.000
3,0.0704,0.000
4,0.5397,0.000
5,0.5699,0.000
6,0.7632,0.000